1.
A geometry-optimized KTbNiCl6 structure, computed with PBE.

For the raw formation energy, the calculation gives -1.646 eV/atom. Its magnetization is 4.16 Bohr magnetons per cell.

The structure belongs to space group P-31c (No. 163); the cell edges are 6.6343, 6.6343 and 13.9490 Å and the angles 90.00°, 90.00° and 120.00°. The inequivalent atoms are K at (0.0000, 0.0000, 0.0000), Tb at (0.3333, 0.6667, 0.2500), Ni at (0.3333, 0.6667, 0.7500) and Cl at (0.0264, 0.3824, 0.6467).

2.
A geometry-optimized HoAl3Rh structure, computed with PBE.

The energy above the most stable polymorph in this dataset is 83 meV/atom. Its magnetization is 0.00 Bohr magnetons per cell.

The structure belongs to space group Imma (No. 74); the cell edges are 5.7451, 9.3346 and 7.4194 Å and the angles 90.00°, 90.00° and 90.00°. The inequivalent atoms are Ho at (0.0000, 0.2500, 0.1034), Al at (0.0000, 0.2500, 0.5348), Al at (0.2500, 0.0722, 0.7500) and Rh at (0.0000, 0.0000, 0.5000).

3.
A geometry-optimized TcB2W3 structure, computed with PBE.

Its magnetization is 0.00 Bohr magnetons per cell. The value obtained for the final energy is -10.71 eV/atom.

The structure belongs to space group Cmcm (No. 63); the cell edges are 7.8785, 7.8560 and 4.7486 Å and the angles 90.00°, 90.00° and 90.00°. The inequivalent atoms are Tc at (0.0000, 0.0796, 0.2500), B at (0.2467, 0.0000, 0.0000), W at (0.0000, 0.4175, 0.2500) and W at (0.1680, 0.2506, 0.7500).

4.
A geometry-optimized SrOs2Se structure, computed with PBE.

For the raw formation energy, the calculation gives 0.969 eV/atom. Its magnetization is 0.01 Bohr magnetons per cell.

The structure belongs to space group F-43m (No. 216); the cell edges are 6.7048, 6.7048 and 6.7048 Å and the angles 90.00°, 90.00° and 90.00°. The inequivalent atoms are Sr at (0.0000, 0.0000, 0.0000), Os at (0.0000, 0.0000, 0.5000), Os at (0.2500, 0.2500, 0.2500) and Se at (0.2500, 0.2500, 0.7500).